(1)
Entry from Alexandria: a geometry-optimized LiCu3Ge3 structure (PBE).

Computed properties:
offset from the most stable computed form = 276 meV per atom
symmetry = Pm-3n, No. 223
ΔH_f (0 K) = 344 meV per atom

a b c (Å): 6.699 6.699 6.699
angles (deg): 90.00 90.00 90.00
Fractional coordinates of all 14 atoms:
Li 0.000 0.000 0.000
Li 0.500 0.500 0.500
Cu 0.000 0.500 0.250
Cu 0.000 0.500 0.750
Cu 0.500 0.750 0.000
Cu 0.500 0.250 0.000
Cu 0.250 0.000 0.500
Cu 0.750 0.000 0.500
Ge 0.500 0.000 0.750
Ge 0.750 0.500 0.000
Ge 0.000 0.250 0.500
Ge 0.500 0.000 0.250
Ge 0.250 0.500 0.000
Ge 0.000 0.750 0.500

(2)
Entry from Alexandria: a geometry-optimized Pr4Nd2Y2Mg structure (PBE).

Computed properties:
symmetry = P-1, No. 2
ΔH_f (0 K) = 126 meV per atom

a b c (Å): 7.145 7.518 6.570
angles (deg): 103.10 115.35 88.88
Fractional coordinates of all 9 atoms:
Y 0.155 0.815 0.464
Y 0.845 0.185 0.536
Pr 0.611 0.810 0.035
Pr 0.324 0.336 0.486
Pr 0.389 0.190 0.965
Pr 0.676 0.664 0.514
Nd 0.836 0.407 0.082
Nd 0.164 0.593 0.918
Mg 0.000 0.000 0.000

(3)
Entry from Alexandria: a geometry-optimized ZrMoP2 structure (PBE).

Computed properties:
offset from the most stable computed form = 396 meV per atom
symmetry = Pmmm, No. 47
ΔH_f (0 K) = -532 meV per atom

a b c (Å): 4.025 3.394 4.934
angles (deg): 90.01 90.00 90.00
Fractional coordinates of all 4 atoms:
P 0.000 0.750 0.477
P 0.000 0.750 0.023
Mo 0.500 0.750 0.750
Zr 0.500 0.250 0.250